Al2ZnGa2Pt5 (PBE-GGA, relaxed); ΔH_f (0 K) = -0.665 eV/atom; D(E_F) = 5.14 states/eV per cell; electronic total energy = -5.17 eV per atom
1.0
10.6951 0.0000 0.0000
0.0000 10.6951 0.0000
0.0000 0.0000 2.8196
Al Zn Ga Pt
4 2 4 10
Direct
0.1490 0.3510 0.0000
0.3510 0.8510 0.0000
0.6490 0.1490 0.0000
0.8510 0.6490 0.0000
0.0000 0.0000 0.0000
0.5000 0.5000 0.0000
0.1488 0.6488 0.0000
0.3512 0.1488 0.0000
0.6488 0.8512 0.0000
0.8512 0.3512 0.0000
0.0000 0.5000 0.5000
0.1456 0.1497 0.5000
0.1497 0.8544 0.5000
0.3503 0.3544 0.5000
0.3544 0.6497 0.5000
0.5000 0.0000 0.5000
0.6456 0.3503 0.5000
0.6497 0.6456 0.5000
0.8503 0.1456 0.5000
0.8544 0.8503 0.5000